Compound: Cd3GaAu12
Source: Alexandria
Functional: PBE
Structure: relaxed Values from VASP.

Geometry as Quantum ESPRESSO input:
```
&SYSTEM
  ibrav = 0, nat = 16, ntyp = 3
/
ATOMIC_SPECIES
Cd 112.41 Cd.upf
Au 196.97 Au.upf
Ga 69.72 Ga.upf
CELL_PARAMETERS angstrom
-1.657 3.530 -1.465
-3.509 -0.773 2.106
6.172 8.453 13.386
ATOMIC_POSITIONS angstrom
Cd 4.646 6.362 10.076
Au 0.503 5.605 7.014
Au 4.602 9.202 11.046
Au -2.583 1.378 0.321
Au -1.064 3.458 3.614
Au 0.549 2.768 6.050
Au 2.071 7.751 10.414
Cd 1.527 2.091 3.311
Au 3.040 7.063 7.658
Au -0.087 2.780 0.876
Au 3.676 7.051 12.831
Au 2.114 4.911 9.443
Cd 3.086 4.227 6.693
Au -1.013 0.629 2.662
Ga 0.000 0.000 0.000
Au 1.475 4.920 4.264
```

Output
Raw total energy, eV per atom: -2.9215
DOS(E_F), states/eV per atom: 0.425
Symmetry: No. 123